Record 1
# KRb3Al2F9

An optimized crystal structure of KRb3Al2F9 (PBE, the Alexandria database).

The structure in CIF format:
```
data_KRb3Al2F9
_chemical_formula_sum 'K1 Rb3 Al2 F9'
_cell_length_a 6.1271
_cell_length_b 6.1271
_cell_length_c 7.6437
_cell_angle_alpha 90.00
_cell_angle_beta 90.00
_cell_angle_gamma 120.00
_space_group_name_H-M_alt 'P -3 m 1'
_space_group_IT_number 164
_space_group_name_Hall '-P 3 2"'
loop_
_atom_site_label
_atom_site_type_symbol
_atom_site_fract_x
_atom_site_fract_y
_atom_site_fract_z
_atom_site_occupancy
K1 K 0.0000 0.0000 0.0000 1
Rb1 Rb 0.0000 0.0000 0.5000 1
Rb2 Rb 0.3333 0.6667 0.1757 1
Al1 Al 0.3333 0.6667 0.6524 1
F1 F 0.0000 0.5000 0.5000 1
F2 F 0.1910 0.3819 0.7853 1
```

Values from the calculation:
The value obtained for the total magnetization is 0.00 μB per formula unit. As for the density: 3.48 Mg/m³. The uncorrected formation energy is -2.951 eV per atom. For the energy, the calculation gives -72.6 eV/cell.

Record 2
# PrAsCl

An optimized crystal structure of PrAsCl (PBE, the Alexandria database).

The structure in CIF format:
```
data_PrAsCl
_chemical_formula_sum 'Pr12 As12 Cl12'
_cell_length_a 9.185
_cell_length_b 11.784
_cell_length_c 9.223
_cell_angle_alpha 90.00
_cell_angle_beta 90.00
_cell_angle_gamma 90.00
_space_group_name_H-M_alt 'I m a 2'
_space_group_IT_number 46
loop_
_space_group_symop_operation_xyz
'x,y,z'
'-x,-y,z'
'-x+1/2,y,z'
'x+1/2,-y,z'
'x+1/2,y+1/2,z+1/2'
'-x+1/2,-y+1/2,z+1/2'
'-x,y+1/2,z+1/2'
'x,-y+1/2,z+1/2'
loop_
_atom_site_label
_atom_site_type_symbol
_atom_site_fract_x
_atom_site_fract_y
_atom_site_fract_z
_atom_site_occupancy
Pr1 Pr 0.000 0.168 0.000 1
Pr2 Pr 0.250 0.000 0.456 1
As1 As 0.000 0.000 0.239 1
As2 As 0.001 0.101 0.672 1
Cl1 Cl 0.250 0.000 0.955 1
Cl2 Cl 0.250 0.232 0.374 1
Cl3 Cl 0.250 0.732 0.874 1
```

Values from the calculation:
The value obtained for the total magnetization is 0.00 μB per formula unit. As for the density: 5.02 Mg/m³. The uncorrected formation energy is -1.343 eV per atom. For the energy, the calculation gives -183.7 eV/cell.

Record 3
# Ca3PaAs4

An optimized crystal structure of Ca3PaAs4 (PBE, the Alexandria database).

The structure in CIF format:
```
data_Ca3PaAs4
_chemical_formula_sum 'Ca6 Pa2 As8'
_cell_length_a 7.261
_cell_length_b 8.464
_cell_length_c 7.353
_cell_angle_alpha 90.00
_cell_angle_beta 109.90
_cell_angle_gamma 90.00
_space_group_name_H-M_alt 'P 1 2/c 1'
_space_group_IT_number 13
loop_
_space_group_symop_operation_xyz
'x,y,z'
'-x,-y,-z'
'-x,y,-z+1/2'
'x,-y,z+1/2'
loop_
_atom_site_label
_atom_site_type_symbol
_atom_site_fract_x
_atom_site_fract_y
_atom_site_fract_z
_atom_site_occupancy
Ca1 Ca 0.000 0.121 0.250 1
Ca2 Ca 0.000 0.373 0.750 1
Ca3 Ca 0.500 0.125 0.750 1
Pa1 Pa 0.500 0.370 0.250 1
As1 As 0.257 0.136 0.014 1
As2 As 0.271 0.387 0.499 1
```

Values from the calculation:
The value obtained for the total magnetization is 0.00 μB per formula unit. As for the density: 5.09 Mg/m³. For the energy, the calculation gives -85.8 eV/cell.